Arrangement w

# YTcTe

A relaxed YTcTe crystal (PBE, the Alexandria database).

```
YTcTe
1.0
2.087 1.205 9.951
-2.087 1.205 9.951
0.000 -2.409 9.951
Y Tc Te
2 2 2
Direct
0.000 0.000 0.000
0.471 0.471 0.471
0.202 0.202 0.202
0.882 0.882 0.882
0.602 0.602 0.602
0.734 0.734 0.734
```

Summary:
Magnetic moment ... 0.000 μB per formula unit
Calculated density ... 6.960 g/cm3



Arrangement x

# YTcTe

A relaxed YTcTe crystal (PBE, the Alexandria database).

```
YTcTe
1.0
3.580 -2.094 0.000
3.580 2.094 0.000
-1.178 0.000 10.281
Y Tc Te
2 2 2
Direct
0.000 0.000 0.000
0.602 0.602 0.601
0.218 0.218 0.375
0.903 0.903 0.424
0.303 0.303 0.811
0.689 0.689 0.180
```

Summary:
Magnetic moment ... 0.000 μB per formula unit
Calculated density ... 6.778 g/cm3



From most stable to least stable, the computed energies give arrangement w, arrangement x.



Arrangement w

# YTcTe

A relaxed YTcTe crystal (PBE, the Alexandria database).

```
YTcTe
1.0
4.401 0.000 0.000
-2.200 3.811 0.000
0.000 0.000 8.901
Y Tc Te
2 2 2
Direct
0.000 0.000 0.000
0.333 0.667 0.550
0.333 0.667 0.211
0.667 0.333 0.227
0.000 0.000 0.359
0.667 0.333 0.760
```

Summary:
Magnetic moment ... 0.000 μB per formula unit
Calculated density ... 6.997 g/cm3



Arrangement x

# YTcTe

A relaxed YTcTe crystal (PBE, the Alexandria database).

```
YTcTe
1.0
0.000 3.407 3.407
3.407 0.000 3.407
3.407 3.407 0.000
Y Tc Te
1 1 1
Direct
0.000 0.000 0.000
0.250 0.250 0.250
0.750 0.750 0.750
```

Summary:
Magnetic moment ... 0.421 μB per formula unit
Calculated density ... 6.605 g/cm3



Arrangement y

# YTcTe

A relaxed YTcTe crystal (PBE, the Alexandria database).

```
YTcTe
1.0
4.586 0.000 0.000
-2.293 3.972 0.000
0.000 0.000 3.667
Y Tc Te
1 1 1
Direct
0.000 0.000 0.000
0.667 0.333 0.500
0.333 0.667 0.500
```

Summary:
Magnetic moment ... 0.430 μB per formula unit
Calculated density ... 7.820 g/cm3



From most stable to least stable, the computed energies give arrangement w, arrangement y, arrangement x.



Arrangement w

# Y4TcTe

A relaxed Y4TcTe crystal (PBE, the Alexandria database).

```
Y4TcTe
1.0
0.000 4.346 4.346
4.346 0.000 4.346
4.346 4.346 0.000
Y Tc Te
4 1 1
Direct
0.124 0.124 0.124
0.124 0.124 0.629
0.124 0.629 0.124
0.629 0.124 0.124
0.750 0.750 0.750
0.500 0.500 0.500
```

Summary:
Magnetic moment ... 2.217 μB per formula unit
Calculated density ... 5.879 g/cm3



Arrangement x

# Y4TcTe

A relaxed Y4TcTe crystal (PBE, the Alexandria database).

```
Y4TcTe
1.0
8.076 0.000 0.000
0.000 4.154 0.000
0.000 0.000 19.438
Y Tc Te
16 4 4
Direct
0.002 0.250 0.067
0.062 0.750 0.211
0.122 0.750 0.642
0.144 0.750 0.457
0.356 0.250 0.957
0.378 0.250 0.142
0.438 0.250 0.711
0.498 0.750 0.567
0.502 0.250 0.433
0.562 0.750 0.289
0.622 0.750 0.858
0.644 0.750 0.043
0.856 0.250 0.543
0.878 0.250 0.358
0.938 0.250 0.789
0.998 0.750 0.933
0.250 0.250 0.558
0.250 0.750 0.058
0.750 0.250 0.942
0.750 0.750 0.442
0.242 0.750 0.805
0.258 0.250 0.305
0.742 0.750 0.695
0.758 0.250 0.195
```

Summary:
Magnetic moment ... 0.000 μB per formula unit
Calculated density ... 5.920 g/cm3



From most stable to least stable, the computed energies give arrangement x, arrangement w.



Arrangement w

# ZnTcTe3

A relaxed ZnTcTe3 crystal (PBE, the Alexandria database).

```
ZnTcTe3
1.0
5.266 0.000 0.000
0.000 5.266 0.000
0.000 0.000 5.266
Zn Tc Te
1 1 3
Direct
0.000 0.000 0.000
0.500 0.500 0.500
0.000 0.000 0.500
0.000 0.500 0.000
0.500 0.000 0.000
```

Summary:
Magnetic moment ... 3.998 μB per formula unit
Calculated density ... 6.213 g/cm3



Arrangement x

# ZnTcTe3

A relaxed ZnTcTe3 crystal (PBE, the Alexandria database).

```
ZnTcTe3
1.0
5.267 0.000 0.000
0.000 5.267 0.000
0.000 0.000 5.267
Zn Tc Te
1 1 3
Direct
0.000 0.000 0.000
0.500 0.500 0.500
0.000 0.500 0.500
0.500 0.000 0.500
0.500 0.500 0.000
```

Summary:
Magnetic moment ... 0.000 μB per formula unit
Calculated density ... 6.208 g/cm3



From most stable to least stable, the computed energies give arrangement x, arrangement w.



Arrangement w

# ZnTc3Te

A relaxed ZnTc3Te crystal (PBE, the Alexandria database).

```
ZnTc3Te
1.0
4.826 0.000 0.000
0.000 4.826 0.000
0.000 0.000 4.826
Zn Tc Te
1 3 1
Direct
0.000 0.000 0.000
0.000 0.500 0.500
0.500 0.000 0.500
0.500 0.500 0.000
0.500 0.500 0.500
```

Summary:
Magnetic moment ... 2.435 μB per formula unit
Calculated density ... 7.196 g/cm3



Arrangement x

# ZnTc3Te

A relaxed ZnTc3Te crystal (PBE, the Alexandria database).

```
ZnTc3Te
1.0
4.581 0.000 0.000
0.000 4.581 0.000
0.000 0.000 4.581
Zn Tc Te
1 3 1
Direct
0.000 0.000 0.000
0.000 0.000 0.500
0.000 0.500 0.000
0.500 0.000 0.000
0.500 0.500 0.500
```

Summary:
Magnetic moment ... 3.102 μB per formula unit
Calculated density ... 8.414 g/cm3



From most stable to least stable, the computed energies give arrangement x, arrangement w.



Arrangement w

# Zr3TcTe

A relaxed Zr3TcTe crystal (PBE, the Alexandria database).

```
Zr3TcTe
1.0
5.197 0.000 0.000
0.000 5.197 0.000
0.000 0.000 5.197
Zr Tc Te
3 1 1
Direct
0.000 0.000 0.500
0.000 0.500 0.000
0.500 0.000 0.000
0.500 0.500 0.500
0.000 0.000 0.000
```

Summary:
Magnetic moment ... 2.280 μB per formula unit
Calculated density ... 5.906 g/cm3



Arrangement x

# Zr3TcTe

A relaxed Zr3TcTe crystal (PBE, the Alexandria database).

```
Zr3TcTe
1.0
5.038 0.000 0.000
0.000 5.038 0.000
0.000 0.000 5.038
Zr Tc Te
3 1 1
Direct
0.000 0.000 0.500
0.000 0.500 0.000
0.500 0.000 0.000
0.000 0.000 0.000
0.500 0.500 0.500
```

Summary:
Magnetic moment ... 0.000 μB per formula unit
Calculated density ... 6.483 g/cm3



From most stable to least stable, the computed energies give arrangement x, arrangement w.



Arrangement w

# Zr2TcTe2

A relaxed Zr2TcTe2 crystal (PBE, the Alexandria database).

```
Zr2TcTe2
1.0
7.468 0.000 0.000
0.000 7.468 0.000
0.000 0.000 3.863
Zr Tc Te
4 2 4
Direct
0.149 0.351 0.000
0.351 0.851 0.000
0.649 0.149 0.000
0.851 0.649 0.000
0.000 0.000 0.500
0.500 0.500 0.500
0.156 0.656 0.500
0.344 0.156 0.500
0.656 0.844 0.500
0.844 0.344 0.500
```

Summary:
Magnetic moment ... 0.017 μB per formula unit
Calculated density ... 8.258 g/cm3



Arrangement x

# Zr2TcTe2

A relaxed Zr2TcTe2 crystal (PBE, the Alexandria database).

```
Zr2TcTe2
1.0
-2.188 2.188 6.859
2.188 -2.188 6.859
2.188 2.188 -6.859
Zr Tc Te
2 1 2
Direct
0.250 0.750 0.500
0.750 0.250 0.500
0.000 0.000 0.000
0.388 0.388 0.000
0.612 0.612 0.000
```

Summary:
Magnetic moment ... 4.078 μB per formula unit
Calculated density ... 6.771 g/cm3



From most stable to least stable, the computed energies give arrangement w, arrangement x.



Arrangement w

# Th5Tl2Tc

A relaxed Th5Tl2Tc crystal (PBE, the Alexandria database).

```
Th5Tl2Tc
1.0
8.157 0.000 0.000
0.000 12.395 0.000
0.000 0.000 4.745
Th Tl Tc
10 4 2
Direct
0.000 0.000 0.000
0.135 0.296 0.000
0.189 0.565 0.500
0.311 0.065 0.500
0.365 0.796 0.000
0.500 0.500 0.000
0.635 0.204 0.000
0.689 0.935 0.500
0.811 0.435 0.500
0.865 0.704 0.000
0.084 0.827 0.500
0.416 0.327 0.500
0.584 0.673 0.500
0.916 0.173 0.500
0.000 0.500 0.000
0.500 0.000 0.000
```

Summary:
Magnetic moment ... 0.000 μB per formula unit
Calculated density ... 11.539 g/cm3



Arrangement x

# Th5Tl2Tc

A relaxed Th5Tl2Tc crystal (PBE, the Alexandria database).

```
Th5Tl2Tc
1.0
2.697 -8.338 0.000
2.697 8.338 0.000
0.000 0.000 13.014
Th Tl Tc
10 4 2
Direct
0.076 0.924 0.597
0.076 0.924 0.903
0.295 0.705 0.562
0.295 0.705 0.938
0.300 0.700 0.250
0.700 0.300 0.750
0.705 0.295 0.062
0.705 0.295 0.438
0.924 0.076 0.097
0.924 0.076 0.403
0.116 0.884 0.139
0.116 0.884 0.361
0.884 0.116 0.639
0.884 0.116 0.861
0.186 0.814 0.750
0.814 0.186 0.250
```

Summary:
Magnetic moment ... 0.000 μB per formula unit
Calculated density ... 9.459 g/cm3



From most stable to least stable, the computed energies give arrangement w, arrangement x.